# K3Zn2In9 | Alexandria | GGA-PBE | relaxed
data_K3Zn2In9
_cell_length_a 5.0584
_cell_length_b 11.2360
_cell_length_c 14.0539
_cell_angle_alpha 90.00
_cell_angle_beta 90.00
_cell_angle_gamma 90.00
_symmetry_space_group_name_H-M 'I m m m'
_symmetry_Int_Tables_number 71
_symmetry_space_group_name_Hall '-I 2 2'
loop_
_atom_site_label
_atom_site_fract_x
_atom_site_fract_y
_atom_site_fract_z
K1 0.0000 0.0000 0.0000
K2 0.0000 0.0000 0.3001
Zn1 0.0000 0.1897 0.5000
In1 0.0000 0.2837 0.1346
In2 0.0000 0.3620 0.3459
In3 0.0000 0.5000 0.0000
# **Formation energy**: -84 kJ/mol of formula units
# **Spin magnetization**: 0.000 μB/atom
# **Volume**: 399.38 Å³/f.u.